1.
An optimized crystal structure of ThMnPb2Se5, computed with GGA-PBE.

Computed properties:
SG: Cmc2_1
Crystal system: orthorhombic

Cell: 4.2880 9.4920 13.5790 Å, 90.00 90.00 103.05°
Last column: nearest neighbours and their distance in Å.
Fractional positions:
1 Th 0.8024 0.6048 0.5283  6 Se 2.90-2.97
2 Th 0.1976 0.3952 0.0283  6 Se 2.90-2.97
3 Mn 0.5659 0.1318 0.9150  4 Se 2.46-2.56
4 Mn 0.4341 0.8682 0.4150  4 Se 2.46-2.56
5 Pb 0.9187 0.8373 0.8537  3 Se 2.91-3.07
6 Pb 0.1393 0.2786 0.6761  3 Se 2.94-2.97
7 Pb 0.0813 0.1627 0.3537  3 Se 2.91-3.07
8 Pb 0.8607 0.7214 0.1761  3 Se 2.94-2.97
9 Se 0.3544 0.7088 0.0284  1 Th 2.90, 2 Pb 2.94
10 Se 0.6994 0.3988 0.8794  1 Mn 2.52
11 Se 0.4987 0.9974 0.7584  1 Mn 2.46
12 Se 0.3001 0.6002 0.6734  2 Th 2.91, 1 Pb 2.97
13 Se 0.9623 0.9246 0.5113  2 Mn 2.56
14 Se 0.6456 0.2912 0.5284  1 Th 2.90, 2 Pb 2.94
15 Se 0.3006 0.6012 0.3794  1 Mn 2.52
16 Se 0.5013 0.0026 0.2584  1 Mn 2.46
17 Se 0.6999 0.3998 0.1734  2 Th 2.91, 1 Pb 2.97
18 Se 0.0377 0.0754 0.0113  2 Mn 2.56

2.
An optimized crystal structure of MnTl3Pb2Se6, computed with GGA-PBE.

Computed properties:
SG: C2/m
Crystal system: monoclinic

Cell: 7.3128 7.3128 7.5708 Å, 99.52 99.52 119.63°
Last column: nearest neighbours and their distance in Å.
Fractional positions:
1 Mn 0.0000 0.0000 0.0000  6 Se 2.53-2.60
2 Tl 0.1785 0.8215 0.5000  6 Se 3.13-3.40
3 Tl 0.8215 0.1785 0.5000  6 Se 3.13-3.40
4 Tl 0.5000 0.5000 0.5000  4 Se 3.10
5 Pb 0.3362 0.6638 0.0000  6 Se 3.04-3.05
6 Pb 0.6638 0.3362 0.0000  6 Se 3.04-3.05
7 Se 0.9316 0.6487 0.7952  1 Mn 2.53
8 Se 0.7919 0.7919 0.2190  1 Mn 2.60
9 Se 0.0684 0.3513 0.2048  1 Mn 2.53
10 Se 0.6487 0.9316 0.7952  1 Mn 2.53
11 Se 0.2081 0.2081 0.7810  1 Mn 2.60
12 Se 0.3513 0.0684 0.2048  1 Mn 2.53

3.
An optimized crystal structure of MnTl2PbSe4, computed with GGA-PBE.

Computed properties:
SG: I-42m
Crystal system: tetragonal

Cell: 7.3636 6.7101 6.7101 Å, 72.48 56.72 56.72°
Last column: nearest neighbours and their distance in Å.
Fractional positions:
1 Mn 0.5000 0.0000 0.0000  4 Se 2.36
2 Tl 0.0000 0.5000 0.5000  4 Se 3.29
3 Tl 0.5000 0.5000 0.5000  4 Se 3.29
4 Pb 0.0000 0.0000 0.0000  4 Se 2.92
5 Se 0.1382 0.3334 0.0000  1 Mn 2.36
6 Se 0.8618 0.0000 0.6666  1 Mn 2.36
7 Se 0.5284 0.0000 0.3334  1 Mn 2.36
8 Se 0.4716 0.6666 0.0000  1 Mn 2.36

4.
An optimized crystal structure of MnTlPb2Se, computed with GGA-PBE.

Computed properties:
SG: P4/mmm
Crystal system: tetragonal

Cell: 5.1878 5.2151 5.1878 Å, 90.00 90.00 90.00°
Last column: nearest neighbours and their distance in Å.
Fractional positions:
1 Pb 0.0000 0.0000 0.5000  2 Mn 2.59
2 Pb 0.5000 0.0000 0.0000  2 Mn 2.59
3 Tl 0.0000 0.5000 0.0000  2 Mn 2.61
4 Mn 0.0000 0.0000 0.0000  4 Pb 2.59, 2 Tl 2.61
5 Se 0.5000 0.5000 0.5000  4 Tl 3.67, 8 Pb 3.68

5.
An optimized crystal structure of UMnPb2Se5, computed with GGA-PBE.

Computed properties:
SG: P2_1
Crystal system: monoclinic

Cell: 4.2022 9.3776 13.1990 Å, 90.00 90.00 102.95°
Last column: nearest neighbours and their distance in Å.
Fractional positions:
1 U 0.7900 0.5791 0.5262  6 Se 2.81-2.86
2 U 0.2100 0.4209 0.0262  6 Se 2.81-2.86
3 Mn 0.5666 0.1349 0.9518  4 Se 2.49-2.54
4 Mn 0.4335 0.8651 0.4518  4 Se 2.49-2.54
5 Pb 0.8961 0.7919 0.7939  3 Se 2.92-3.24
6 Pb 0.1107 0.2206 0.6544  6 Se 2.96-3.30
7 Pb 0.1039 0.2081 0.2939  3 Se 2.92-3.24
8 Pb 0.8893 0.7794 0.1544  6 Se 2.96-3.30
9 Se 0.3633 0.7273 0.0010  1 U 2.82, 2 Pb 2.96
10 Se 0.6973 0.3956 0.8857  1 Mn 2.54, 2 U 2.81
11 Se 0.5068 0.0133 0.7830  1 Mn 2.49
12 Se 0.2789 0.5570 0.6700  2 U 2.84, 1 Pb 3.08
13 Se 0.9449 0.8882 0.5578  2 Mn 2.53
14 Se 0.6367 0.2726 0.5011  1 U 2.82, 2 Pb 2.96
15 Se 0.3027 0.6044 0.3857  1 Mn 2.54, 2 U 2.81
16 Se 0.4932 0.9867 0.2830  1 Mn 2.49
17 Se 0.7211 0.4430 0.1700  2 U 2.84, 1 Pb 3.08
18 Se 0.0551 0.1118 0.0578  2 Mn 2.53

6.
An optimized crystal structure of UMnPb2Se6, computed with GGA-PBE.

Computed properties:
SG: R3
Crystal system: trigonal

Cell: 7.2704 7.2709 7.4445 Å, 89.99 119.23 120.01°
Last column: nearest neighbours and their distance in Å.
Fractional positions:
1 U 0.9814 0.9902 0.9576  6 Se 2.71-2.73
2 Mn 0.9868 0.4929 0.4657  6 Se 2.63-2.70
3 Pb 0.5695 0.7843 0.3397  6 Se 3.08-3.09
4 Pb 0.5763 0.2876 0.8498  6 Se 3.07-3.09
5 Se 0.4743 0.8335 0.6927  1 Mn 2.63, 1 U 2.73
6 Se 0.4856 0.1506 0.2039  1 Mn 2.70, 1 U 2.71
7 Se 0.8838 0.7323 0.2038  1 Mn 2.70, 1 U 2.71
8 Se 0.0674 0.3340 0.2038  1 Mn 2.70, 1 U 2.71
9 Se 0.8734 0.6399 0.6928  1 Mn 2.63, 1 U 2.73
10 Se 0.0670 0.2324 0.6928  1 Mn 2.63, 1 U 2.73

7.
An optimized crystal structure of Mn2ZnPbSe, computed with GGA-PBE.

Computed properties:
SG: P4/mmm
Crystal system: tetragonal

Cell: 4.6006 5.3103 4.6006 Å, 90.00 90.00 90.00°
Last column: nearest neighbours and their distance in Å.
Fractional positions:
1 Pb 0.0000 0.5000 0.0000  2 Zn 2.66
2 Zn 0.0000 0.0000 0.0000  4 Mn 2.30
3 Mn 0.0000 0.0000 0.5000  2 Zn 2.30
4 Mn 0.5000 0.0000 0.0000  2 Zn 2.30
5 Se 0.5000 0.5000 0.5000  4 Pb 3.25, 8 Mn 3.51

8.
An optimized crystal structure of ZrMnPb2Se5, computed with GGA-PBE.

Computed properties:
SG: Cmc2_1
Crystal system: orthorhombic

Cell: 4.0643 9.7737 12.2412 Å, 90.00 90.00 102.00°
Last column: nearest neighbours and their distance in Å.
Fractional positions:
1 Zr 0.5932 0.1864 0.9824  5 Se 2.59-2.73
2 Zr 0.4068 0.8136 0.4824  5 Se 2.59-2.73
3 Mn 0.7698 0.5395 0.5000  5 Se 2.46-2.73
4 Mn 0.2302 0.4605 0.0000  5 Se 2.46-2.73
5 Pb 0.8989 0.7977 0.8039  7 Se 3.07-3.38
6 Pb 0.1288 0.2576 0.6762  7 Se 3.00-3.33
7 Pb 0.1011 0.2023 0.3039  7 Se 3.07-3.38
8 Pb 0.8712 0.7424 0.1762  7 Se 3.00-3.33
9 Se 0.3589 0.7178 0.9971  1 Mn 2.46
10 Se 0.7052 0.4104 0.8561  1 Zr 2.64, 2 Mn 2.73
11 Se 0.5191 0.0382 0.8004  1 Zr 2.64
12 Se 0.3047 0.6094 0.6388  2 Mn 2.73, 1 Zr 2.73
13 Se 0.9696 0.9392 0.5691  2 Zr 2.59
14 Se 0.6411 0.2822 0.4971  1 Mn 2.46
15 Se 0.2948 0.5896 0.3561  1 Zr 2.64, 2 Mn 2.73
16 Se 0.4809 0.9618 0.3004  1 Zr 2.64
17 Se 0.6953 0.3906 0.1388  2 Mn 2.73, 1 Zr 2.73
18 Se 0.0304 0.0608 0.0691  2 Zr 2.59

9.
An optimized crystal structure of MnSiPb2, computed with GGA-PBE.

Computed properties:
SG: P4mm
Crystal system: tetragonal

Cell: 3.2584 3.2584 8.4543 Å, 90.00 90.00 90.00°
Last column: nearest neighbours and their distance in Å.
Fractional positions:
1 Mn 0.5000 0.5000 0.6705  4 Si 2.42
2 Pb 0.0000 0.0000 0.9329  1 Si 2.96, 4 Mn 3.20, 4 Pb 3.26
3 Pb 0.5000 0.5000 0.3133  1 Mn 3.02, 4 Si 3.24, 4 Pb 3.26
4 Si 0.0000 0.0000 0.5833  4 Mn 2.42

10.
An optimized crystal structure of MnSiPb, computed with GGA-PBE.

Computed properties:
Distance to the lowest polymorph of the same formula (kJ per mole of atoms): 0.00
SG: I4mm
Crystal system: tetragonal

Cell: 5.8652 5.8652 5.8652 Å, 147.38 147.38 46.79°
Last column: nearest neighbours and their distance in Å.
Fractional positions:
1 Mn 0.0474 0.0474 0.0000  4 Si 2.44
2 Pb 0.3380 0.3380 0.0000  1 Si 2.98, 5 Mn 3.13-3.24, 4 Pb 3.29
3 Si 0.6147 0.6147 0.0000  4 Mn 2.44

11.
An optimized crystal structure of MnSiPb2, computed with GGA-PBE.

Computed properties:
SG: P4/mmm
Crystal system: tetragonal

Cell: 4.1565 4.7361 4.7361 Å, 90.00 90.00 90.00°
Last column: nearest neighbours and their distance in Å.
Fractional positions:
1 Mn 0.5000 0.0000 0.5000  8 Pb 3.15, 4 Si 3.35
2 Pb 0.0000 0.0000 0.0000  4 Mn 3.15, 4 Si 3.15, 4 Pb 3.35
3 Pb 0.0000 0.5000 0.5000  4 Mn 3.15, 4 Si 3.15, 4 Pb 3.35
4 Si 0.5000 0.5000 0.0000  8 Pb 3.15, 4 Mn 3.35

12.
An optimized crystal structure of Mn3SiPb, computed with GGA-PBE.

Computed properties:
Distance to the lowest polymorph of the same formula (kJ per mole of atoms): 59.39
SG: Pm-3m
Crystal system: cubic

Cell: 5.0872 5.0872 5.0872 Å, 90.00 90.00 90.00°
Last column: nearest neighbours and their distance in Å.
Fractional positions:
1 Pb 0.0000 0.0000 0.0000  6 Mn 2.54
2 Si 0.5000 0.5000 0.5000  12 Mn 3.60
3 Mn 0.0000 0.5000 0.0000  2 Pb 2.54
4 Mn 0.0000 0.0000 0.5000  2 Pb 2.54
5 Mn 0.5000 0.0000 0.0000  2 Pb 2.54

13.
An optimized crystal structure of MnSiPb2, computed with GGA-PBE.

Computed properties:
SG: Cmmm
Crystal system: orthorhombic

Cell: 5.2314 5.2314 3.4557 Å, 90.03 90.03 101.12°
Last column: nearest neighbours and their distance in Å.
Fractional positions:
1 Mn 0.0000 0.5000 0.5000  8 Pb 3.13-3.14, 2 Si 3.32, 2 Mn 3.46
2 Pb 0.0000 0.0000 0.0000  4 Mn 3.13-3.14, 4 Si 3.13-3.14, 4 Pb 3.32-3.46
3 Pb 0.5000 0.5000 0.0000  4 Si 3.13-3.14, 4 Mn 3.13-3.14, 4 Pb 3.32-3.46
4 Si 0.5000 0.0000 0.5000  8 Pb 3.13-3.14, 2 Mn 3.32, 2 Si 3.46

14.
An optimized crystal structure of MnSiPb2, computed with GGA-PBE.

Computed properties:
SG: P4/mmm
Crystal system: tetragonal

Cell: 3.3707 3.3707 8.1983 Å, 90.00 90.00 90.00°
Last column: nearest neighbours and their distance in Å.
Fractional positions:
1 Mn 0.5000 0.5000 0.7500  8 Pb 3.08, 4 Mn 3.37
2 Pb 0.0000 0.0000 0.9889  4 Mn 3.08, 4 Si 3.20, 4 Pb 3.37
3 Pb 0.0000 0.0000 0.5111  4 Mn 3.08, 4 Si 3.20, 4 Pb 3.37
4 Si 0.5000 0.5000 0.2500  8 Pb 3.20, 4 Si 3.37

15.
An optimized crystal structure of MnSiPb2, computed with GGA-PBE.

Computed properties:
SG: I4/mmm
Crystal system: tetragonal

Cell: 5.4678 5.4678 5.4678 Å, 130.04 130.04 73.34°
Last column: nearest neighbours and their distance in Å.
Fractional positions:
1 Mn 0.7500 0.2500 0.5000  8 Pb 3.18, 4 Si 3.27
2 Pb 0.0000 0.0000 0.0000  4 Si 3.18, 4 Mn 3.18, 4 Pb 3.27
3 Pb 0.5000 0.5000 0.0000  4 Mn 3.18, 4 Si 3.18, 4 Pb 3.27
4 Si 0.2500 0.7500 0.5000  8 Pb 3.18, 4 Mn 3.27

16.
An optimized crystal structure of MnSiPb3, computed with GGA-PBE.

Computed properties:
Distance to the lowest polymorph of the same formula (kJ per mole of atoms): 0.00
SG: Pm-3m
Crystal system: cubic

Cell: 5.1925 5.1925 5.1925 Å, 90.00 90.00 90.00°
Last column: nearest neighbours and their distance in Å.
Fractional positions:
1 Pb 0.0000 0.5000 0.0000  2 Mn 2.60
2 Pb 0.0000 0.0000 0.5000  2 Mn 2.60
3 Pb 0.5000 0.0000 0.0000  2 Mn 2.60
4 Si 0.5000 0.5000 0.5000  12 Pb 3.67
5 Mn 0.0000 0.0000 0.0000  6 Pb 2.60

17.
An optimized crystal structure of MnSiPb2, computed with GGA-PBE.

Computed properties:
SG: R3m
Crystal system: trigonal

Cell: 7.0357 7.0357 7.0357 Å, 33.76 33.76 33.76°
Last column: nearest neighbours and their distance in Å.
Fractional positions:
1 Mn 0.7913 0.7913 0.7913  3 Si 2.36
2 Pb 0.0281 0.0281 0.0281  3 Mn 3.04, 3 Si 3.06
3 Pb 0.2216 0.2216 0.2216  3 Si 3.03, 3 Mn 3.05
4 Si 0.4590 0.4590 0.4590  3 Mn 2.36

18.
An optimized crystal structure of MnSiPb3, computed with GGA-PBE.

Computed properties:
Distance to the lowest polymorph of the same formula (kJ per mole of atoms): 68.71
SG: Pm-3m
Crystal system: cubic

Cell: 5.3193 5.3193 5.3193 Å, 90.00 90.00 90.00°
Last column: nearest neighbours and their distance in Å.
Fractional positions:
1 Pb 0.0000 0.5000 0.0000  2 Si 2.66
2 Pb 0.0000 0.0000 0.5000  2 Si 2.66
3 Pb 0.5000 0.0000 0.0000  2 Si 2.66
4 Si 0.0000 0.0000 0.0000  6 Pb 2.66
5 Mn 0.5000 0.5000 0.5000  12 Pb 3.76

19.
An optimized crystal structure of Mn3SiPb, computed with GGA-PBE.

Computed properties:
Distance to the lowest polymorph of the same formula (kJ per mole of atoms): 0.00
SG: Pm-3m
Crystal system: cubic

Cell: 4.2665 4.2665 4.2665 Å, 90.00 90.00 90.00°
Last column: nearest neighbours and their distance in Å.
Fractional positions:
1 Pb 0.5000 0.5000 0.5000  12 Mn 3.02
2 Si 0.0000 0.0000 0.0000  6 Mn 2.13
3 Mn 0.0000 0.5000 0.0000  2 Si 2.13
4 Mn 0.0000 0.0000 0.5000  2 Si 2.13
5 Mn 0.5000 0.0000 0.0000  2 Si 2.13

20.
An optimized crystal structure of MnSiPb, computed with GGA-PBE.

Computed properties:
Distance to the lowest polymorph of the same formula (kJ per mole of atoms): 10.01
SG: P-6m2
Crystal system: hexagonal

Cell: 4.1506 4.1506 4.1364 Å, 90.00 90.00 120.00°
Last column: nearest neighbours and their distance in Å.
Fractional positions:
1 Mn 0.0000 0.0000 0.8339  3 Si 2.40
2 Pb 0.6667 0.3333 0.3332  6 Mn 3.16-3.17, 6 Si 3.16-3.17
3 Si 0.3333 0.6667 0.8329  3 Mn 2.40

21.
An optimized crystal structure of MnSiPb2, computed with GGA-PBE.

Computed properties:
SG: F-43m
Crystal system: cubic

Cell: 5.1247 5.1247 5.1247 Å, 60.00 60.00 60.00°
Last column: nearest neighbours and their distance in Å.
Fractional positions:
1 Mn 0.5000 0.5000 0.5000  4 Pb 3.14, 4 Si 3.14
2 Pb 0.0000 0.0000 0.0000  4 Si 3.14, 4 Pb 3.14
3 Pb 0.2500 0.2500 0.2500  4 Mn 3.14, 4 Pb 3.14
4 Si 0.7500 0.7500 0.7500  4 Pb 3.14, 4 Mn 3.14

22.
An optimized crystal structure of MnSiPb2, computed with GGA-PBE.

Computed properties:
SG: Pm
Crystal system: monoclinic

Cell: 3.9353 4.3062 5.7625 Å, 67.73 90.00 90.00°
Last column: nearest neighbours and their distance in Å.
Fractional positions:
1 Mn 0.5000 0.5598 0.7578  2 Si 2.43
2 Pb 0.0000 0.9749 0.9232  3 Si 3.03-3.16, 4 Mn 3.04-3.05
3 Pb 0.5000 0.2729 0.3283  4 Si 3.04-3.05, 3 Mn 3.04-3.16
4 Si 0.0000 0.6925 0.4906  2 Mn 2.43

23.
An optimized crystal structure of MnSiPb2, computed with GGA-PBE.

Computed properties:
SG: I-42d
Crystal system: tetragonal

Cell: 7.8519 7.8519 6.4020 Å, 52.18 52.18 90.00°
Last column: nearest neighbours and their distance in Å.
Fractional positions:
1 Pb 0.6098 0.1250 0.2500  2 Si 2.81, 2 Mn 2.97
2 Pb 0.1402 0.6250 0.2500  2 Si 2.81, 2 Mn 2.97
3 Pb 0.3750 0.3902 0.7500  2 Si 2.81, 2 Mn 2.97
4 Pb 0.8750 0.8598 0.7500  2 Si 2.81, 2 Mn 2.97
5 Si 0.5000 0.5000 0.0000  4 Pb 2.81
6 Si 0.2500 0.7500 0.5000  4 Pb 2.81
7 Mn 0.0000 0.0000 0.0000  4 Pb 2.97, 2 Si 3.19
8 Mn 0.7500 0.2500 0.5000  4 Pb 2.97, 2 Si 3.19

24.
An optimized crystal structure of MnSiPb2, computed with GGA-PBE.

Computed properties:
SG: Imm2
Crystal system: orthorhombic

Cell: 6.8704 6.8704 6.8704 Å, 147.98 145.09 48.10°
Last column: nearest neighbours and their distance in Å.
Fractional positions:
1 Mn 0.3136 0.8136 0.5000  2 Si 2.40
2 Pb 0.0141 0.0141 0.0000  4 Si 2.99, 2 Mn 3.25
3 Pb 0.7419 0.2419 0.5000  4 Mn 2.94, 2 Si 3.14
4 Si 0.4305 0.4305 0.0000  2 Mn 2.40

25.
An optimized crystal structure of MnSiPb2, computed with GGA-PBE.

Computed properties:
SG: Cmmm
Crystal system: orthorhombic

Cell: 3.3562 3.3562 8.2181 Å, 90.00 90.00 96.23°
Last column: nearest neighbours and their distance in Å.
Fractional positions:
1 Mn 0.5000 0.5000 0.7500  8 Pb 2.97-3.17
2 Pb 0.0000 0.0000 0.9873  4 Mn 2.97-3.17, 4 Si 3.11-3.30
3 Pb 0.0000 0.0000 0.5127  4 Mn 2.97-3.17, 4 Si 3.11-3.30
4 Si 0.5000 0.5000 0.2500  8 Pb 3.11-3.30, 4 Si 3.36

26.
An optimized crystal structure of MnSi4Pb, computed with GGA-PBE.

Computed properties:
SG: F-43m
Crystal system: cubic

Cell: 5.2874 5.2874 5.2874 Å, 60.00 60.00 60.00°
Last column: nearest neighbours and their distance in Å.
Fractional positions:
1 Mn 0.7500 0.7500 0.7500  12 Si 3.10, 4 Pb 3.24
2 Si 0.8716 0.3761 0.3761  6 Si 2.62-2.67
3 Si 0.3761 0.3761 0.8716  6 Si 2.62-2.67
4 Si 0.3761 0.8716 0.3761  6 Si 2.62-2.67
5 Si 0.3761 0.3761 0.3761  6 Si 2.62-2.67
6 Pb 0.0000 0.0000 0.0000  12 Si 3.10, 4 Mn 3.24

Values for uncorrected formation energy, kJ/mol of atoms, ordered as above
-85; -39; -33; 23; -67; -63; 71; -66; 18; 25; 52; 141; 53; 56; 55; 63; 21; 131; 82; 35; 61; 28; 59; 37; 56; 55